A plane-wave DFT calculation with GGA-PBEsol was carried out for crystalline AlPS2Br at its relaxed geometry.

Calculated values
The calculation puts the electronic total energy at -3.782 eV/atom. Its raw formation energy is 0.322 eV per atom. The density is 3.35 Mg/m³.

Unit cell a=4.4101 b=4.4101 c=5.1470 alpha=90.00 beta=90.00 gamma=90.00
Closest atoms and distances in Å follow each position.
Space group P4/mmm (No. 123)
Symmetry-distinct sites (fractional):
1 Al 0.0000 0.0000 0.0000 x1  4 S 2.21
2 P 0.0000 0.0000 0.5000 x1  2 Al 2.57
3 S 0.0000 0.5000 0.0000 x2  2 Al 2.21
4 Br 0.5000 0.5000 0.5000 x1  4 P 3.12, 8 S 3.39